No. 1
DFT (GGA-PBE) results for a geometry-optimized YBr5 structure.

## Properties
Space group: No. 8
DFT total energy in eV per atom: -3.634

Cell and atoms, written as extended XYZ:
```
6
Lattice="2.045 7.539 -1.652 -2.045 7.539 -1.652 0.000 -1.140 8.089" Properties=species:S:1:pos:R:3 pbc="T T T"
Y 0.000 11.048 4.974
Br 0.000 0.195 0.773
Br 0.000 8.493 4.262
Br 0.000 4.509 0.475
Br 0.000 4.367 4.864
Br 0.000 0.449 3.105
```


No. 2
DFT (GGA-PBE) results for a geometry-optimized MnAl5 structure.

## Properties
Space group: No. 191
DFT total energy in eV per atom: -4.329
DOS at the Fermi energy in states/eV per cell: 4.05

Cell and atoms, written as extended XYZ:
```
6
Lattice="2.583 -4.474 0.000 2.583 4.474 0.000 0.000 0.000 4.680" Properties=species:S:1:pos:R:3 pbc="T T T"
Mn 0.000 0.000 0.000
Al 2.583 1.491 0.000
Al 2.583 -1.491 0.000
Al 1.291 -2.237 2.340
Al 1.291 2.237 2.340
Al 2.583 0.000 2.340
```


No. 3
DFT (GGA-PBE) results for a geometry-optimized MnCd2Au6 structure.

## Properties
Space group: No. 15
DFT total energy in eV per atom: -3.503
DOS at the Fermi energy in states/eV per cell: 5.72

Cell and atoms, written as extended XYZ:
```
18
Lattice="5.040 0.140 0.513 0.655 7.959 2.372 0.272 -0.061 8.326" Properties=species:S:1:pos:R:3 pbc="T T T"
Mn 1.579 0.974 7.712
Mn 4.387 7.064 3.499
Cd 2.719 4.356 8.091
Cd 0.633 1.654 4.318
Cd 3.247 3.683 3.120
Cd 5.333 6.384 6.893
Au 2.976 5.520 5.392
Au 0.572 4.584 3.977
Au 2.990 2.518 5.819
Au 5.394 3.454 7.234
Au 3.351 0.742 3.406
Au 5.035 5.272 9.616
Au 2.615 7.296 7.805
Au 0.931 2.766 1.595
Au 2.075 6.234 2.084
Au 1.665 7.896 4.296
Au 3.891 1.804 9.127
Au 4.300 0.142 6.915
```


No. 4
DFT (GGA-PBE) results for a geometry-optimized AcPuAuO6 structure.

## Properties
Space group: No. 163
DFT total energy in eV per atom: -7.610
DOS at the Fermi energy in states/eV per cell: 16.72

Cell and atoms, written as extended XYZ:
```
18
Lattice="6.168 0.000 0.000 -3.084 5.342 0.000 0.000 0.000 8.404" Properties=species:S:1:pos:R:3 pbc="T T T"
Ac 0.000 3.561 2.101
Ac 3.084 1.781 6.303
Pu 3.084 1.781 2.101
Pu 0.000 3.561 6.303
Au 0.000 0.000 0.000
Au 0.000 0.000 4.202
O 2.276 3.273 1.024
O 4.781 1.734 1.024
O -0.888 5.007 5.226
O -1.697 3.608 7.381
O 1.388 1.734 3.178
O 3.892 3.273 3.178
O 0.888 5.007 7.381
O 3.973 0.335 3.178
O -0.808 2.069 5.226
O 2.196 0.335 1.024
O 1.697 3.608 5.226
O 0.808 2.069 7.381
```


No. 5
DFT (GGA-PBE) results for a geometry-optimized ZrIrRu2 structure.

## Properties
Space group: No. 166
DFT total energy in eV per atom: -8.826
DOS at the Fermi energy in states/eV per cell: 6.59

Cell and atoms, written as extended XYZ:
```
4
Lattice="9.513 0.001 0.001 9.102 2.765 0.001 9.102 1.353 2.412" Properties=species:S:1:pos:R:3 pbc="T T T"
Ir 20.788 3.089 1.810
Ru 0.169 0.025 0.015
Ru 13.689 2.034 1.192
Zr 6.929 1.030 0.603
```


No. 6
DFT (GGA-PBE) results for a geometry-optimized Mg6Hg2Au structure.

## Properties
Space group: No. 12
DFT total energy in eV per atom: -1.725
DOS at the Fermi energy in states/eV per cell: 5.20

Cell and atoms, written as extended XYZ:
```
9
Lattice="-0.048 3.800 -2.616 -6.438 0.852 1.355 4.935 1.584 6.212" Properties=species:S:1:pos:R:3 pbc="T T T"
Mg -1.008 1.473 2.141
Mg 2.781 4.323 2.110
Mg -0.544 4.763 2.810
Mg -1.567 2.104 -0.983
Mg -4.332 1.913 2.841
Mg -4.919 2.548 -0.278
Hg -2.681 3.621 1.224
Hg 1.130 2.615 3.727
Au 0.000 0.000 0.000
```


No. 7
DFT (GGA-PBE) results for a geometry-optimized TlZnCu2 structure.

## Properties
Space group: No. 47
DFT total energy in eV per atom: -2.798
DOS at the Fermi energy in states/eV per cell: 1.02

Cell and atoms, written as extended XYZ:
```
4
Lattice="-1.847 0.754 -2.352 -1.859 -2.622 0.619 -3.643 3.524 3.990" Properties=species:S:1:pos:R:3 pbc="T T T"
Cu -3.451 3.339 3.781
Cu -2.013 1.947 2.205
Tl -2.764 -0.053 0.131
Zn -4.585 1.709 2.126
```


No. 8
DFT (GGA-PBE) results for a geometry-optimized GeP structure.

## Properties
Space group: No. 12
DFT total energy in eV per atom: -4.995

Cell and atoms, written as extended XYZ:
```
8
Lattice="8.497 0.000 -0.004 0.000 3.664 0.000 -1.567 0.000 6.143" Properties=species:S:1:pos:R:3 pbc="T T T"
Ge 5.450 0.000 0.302
Ge 1.479 0.000 5.837
Ge 4.667 1.832 3.374
Ge 2.263 1.832 2.766
P 1.497 0.000 1.480
P 5.433 0.000 4.660
P 0.713 1.832 4.552
P 6.216 1.832 1.588
```


No. 9
DFT (GGA-PBE) results for a geometry-optimized Ba5Ga5Pt2 structure.

## Properties
Space group: No. 12
DFT total energy in eV per atom: -3.561
DOS at the Fermi energy in states/eV per cell: 11.53

Cell and atoms, written as extended XYZ:
```
12
Lattice="-4.588 0.049 0.500 -1.981 -7.422 3.852 -1.312 5.426 8.746" Properties=species:S:1:pos:R:3 pbc="T T T"
Ba -3.941 -0.973 6.549
Ba -3.583 2.784 9.467
Ba -1.955 1.277 3.243
Ba -5.926 -3.224 9.854
Ba -4.298 -4.731 3.631
Ga -6.331 -3.623 6.175
Ga -3.567 -0.648 9.943
Ga -4.314 -1.299 3.154
Ga -1.550 1.677 6.922
Ga 0.000 0.000 0.000
Pt -5.957 0.013 9.256
Pt -1.924 -1.960 3.842
```


No. 10
DFT (GGA-PBE) results for a geometry-optimized Th2MnGa3Ni12 structure.

## Properties
Space group: No. 166
DFT total energy in eV per atom: -5.716
DOS at the Fermi energy in states/eV per cell: 13.68

Cell and atoms, written as extended XYZ:
```
18
Lattice="8.767 1.528 1.084 5.658 6.869 1.084 5.658 3.294 6.125" Properties=species:S:1:pos:R:3 pbc="T T T"
Th 13.103 7.627 5.410
Th 6.981 4.063 2.882
Mn 0.000 0.000 0.000
Ga 4.384 0.764 0.542
Ga 2.829 3.435 0.542
Ga 2.829 1.647 3.062
Ni 10.625 6.184 5.867
Ni 15.338 8.928 4.195
Ni 13.584 9.924 7.039
Ni 11.840 5.494 3.897
Ni 15.338 6.911 7.039
Ni 10.625 7.582 3.897
Ni 9.459 5.506 2.425
Ni 4.746 2.762 4.097
Ni 6.500 1.766 1.253
Ni 8.244 6.196 4.395
Ni 4.746 4.780 1.253
Ni 9.459 4.109 4.395
```


No. 11
DFT (GGA-PBE) results for a geometry-optimized CsTe8Rh5 structure.

## Properties
Space group: No. 12
DFT total energy in eV per atom: -4.945
DOS at the Fermi energy in states/eV per cell: 7.42

Cell and atoms, written as extended XYZ:
```
14
Lattice="3.997 0.000 -0.781 -0.466 8.817 -2.379 -0.008 0.210 10.553" Properties=species:S:1:pos:R:3 pbc="T T T"
Cs 1.757 4.619 8.972
Te 0.872 1.427 4.455
Te 2.651 7.602 2.938
Te 0.484 4.369 2.470
Te 3.038 4.659 4.921
Te -0.023 7.426 -0.122
Te 3.546 1.600 7.516
Te 1.303 7.699 6.658
Te 2.219 1.328 0.734
Rh 0.863 6.140 4.409
Rh 2.659 2.887 2.982
Rh 1.341 0.301 6.849
Rh 2.182 8.727 0.544
Rh -0.466 8.816 -2.379
```


No. 12
DFT (GGA-PBE) results for a geometry-optimized YHoAu2 structure.

## Properties
Space group: No. 160
DFT total energy in eV per atom: -5.128
DOS at the Fermi energy in states/eV per cell: 2.95

Cell and atoms, written as extended XYZ:
```
4
Lattice="3.998 0.000 0.000 1.999 3.462 0.000 1.999 1.154 7.518" Properties=species:S:1:pos:R:3 pbc="T T T"
Y 3.998 2.308 3.782
Ho 5.997 3.462 7.489
Au 1.999 1.154 5.652
Au 1.999 1.154 1.872
```